{
  "formula": "Pr2Sm8Tl",
  "functional": "PBE",
  "state": "relaxed",
  "lattice": [[-3.545, 3.617, -0.025], [-5.092, -4.965, 3.832], [6.288, 2.663, 6.685]],
  "species": ["Pr", "Sm", "Sm", "Tl", "Sm", "Sm", "Sm", "Sm", "Sm", "Sm", "Pr"],
  "frac_coords": [[0.777, 0.364, 0.554], [0.864, 0.823, 0.729], [0.679, 0.909, 0.357], [0.500, 0.000, 0.000], [0.956, 0.275, 0.912], [0.136, 0.177, 0.271], [0.411, 0.559, 0.823], [0.321, 0.091, 0.643], [0.044, 0.725, 0.088], [0.589, 0.441, 0.177], [0.223, 0.636, 0.446]],
  "polymorph_energy_ev_per_fu": 0.00,
  "formation_energy_kj_per_mol_atoms": -3,
  "total_magnetization_mub_per_cell": 0.0
}


{
  "formula": "Cs2UCd2Te4",
  "functional": "PBE",
  "state": "relaxed",
  "lattice": [[-2.663, 3.454, -0.536], [-2.248, -3.084, -8.701], [-4.110, -4.858, 7.132]],
  "species": ["U", "Cd", "Te", "Te", "Te", "Cd", "Cs", "Cs", "Te"],
  "frac_coords": [[0.000, 0.000, 0.000], [0.696, 0.021, 0.392], [0.526, 0.793, 0.052], [0.474, 0.207, 0.948], [0.826, 0.780, 0.653], [0.304, 0.979, 0.608], [0.130, 0.575, 0.259], [0.870, 0.425, 0.741], [0.174, 0.220, 0.347]],
  "final_energy_ev_per_atom": -3.72,
  "total_magnetization_mub_per_cell": 1.9
}


{
  "formula": "ScZn2Mo",
  "functional": "PBE",
  "state": "relaxed",
  "lattice": [[-4.857, -0.303, -3.986], [-0.612, -0.998, 4.740], [-1.994, 2.081, 0.182]],
  "species": ["Mo", "Sc", "Zn", "Zn"],
  "frac_coords": [[0.000, 0.500, 0.500], [0.500, 0.500, 0.000], [0.500, 0.000, 0.500], [0.000, 0.000, 0.000]],
  "polymorph_energy_ev_per_fu": 0.05,
  "formation_energy_kj_per_mol_atoms": -6,
  "total_magnetization_mub_per_cell": 0.0
}


{
  "formula": "ZrMnIn2",
  "functional": "PBE",
  "state": "relaxed",
  "lattice": [[-3.454, -0.859, -0.529], [0.987, -2.504, -2.389], [0.362, -4.373, 4.734]],
  "species": ["In", "Mn", "In", "Zr"],
  "frac_coords": [[0.500, 0.500, 0.265], [0.000, 0.000, 0.528], [0.000, 0.000, 0.988], [0.500, 0.500, 0.718]],
  "formation_energy_kj_per_mol_atoms": 5,
  "total_magnetization_mub_per_cell": 2.0
}


{
  "formula": "CsSb2S2",
  "functional": "PBE",
  "state": "relaxed",
  "lattice": [[-2.654, 2.654, 6.095], [2.654, -2.654, 6.095], [2.654, 2.654, -6.095]],
  "species": ["Sb", "S", "S", "Sb", "Cs"],
  "frac_coords": [[0.688, 0.688, 0.000], [0.250, 0.750, 0.500], [0.750, 0.250, 0.500], [0.312, 0.312, 0.000], [0.000, 0.000, 0.000]],
  "polymorph_energy_ev_per_fu": 0.00,
  "total_magnetization_mub_per_cell": 0.0
}


{
  "formula": "Ga3AgPd",
  "functional": "PBE",
  "state": "relaxed",
  "lattice": [[-4.458, -2.668, 0.156], [7.329, -1.575, -0.789], [0.922, 0.942, 6.677]],
  "species": ["Ga", "Pd", "Pd", "Ga", "Ga", "Ga", "Ga", "Ag", "Ga", "Ag"],
  "frac_coords": [[0.074, 0.478, 0.821], [0.711, 0.605, 0.839], [0.289, 0.395, 0.161], [0.504, 0.686, 0.500], [0.926, 0.904, 0.179], [0.926, 0.522, 0.179], [0.074, 0.096, 0.821], [0.376, 0.937, 0.682], [0.496, 0.314, 0.500], [0.624, 0.063, 0.318]],
  "polymorph_energy_ev_per_fu": 0.00,
  "formation_energy_kj_per_mol_atoms": -20,
  "total_magnetization_mub_per_cell": 0.0
}


{
  "formula": "TaInBr2",
  "functional": "PBE",
  "state": "relaxed",
  "lattice": [[-4.725, 2.089, -3.017], [-1.428, -4.845, 3.206], [-2.240, 0.895, 2.184]],
  "species": ["Ta", "In", "Br", "Br"],
  "frac_coords": [[0.000, 0.500, 0.500], [0.500, 0.000, 0.500], [0.000, 0.000, 0.000], [0.500, 0.500, 0.000]],
  "polymorph_energy_ev_per_fu": 2.73,
  "total_magnetization_mub_per_cell": 0.5
}


{
  "formula": "TbNdTm2Hg4",
  "functional": "PBE",
  "state": "relaxed",
  "lattice": [[5.275, 0.000, 0.000], [2.637, 4.568, 0.000], [2.637, 1.523, 8.652]],
  "species": ["Nd", "Hg", "Tm", "Hg", "Hg", "Tb", "Tm", "Hg"],
  "frac_coords": [[0.000, 0.000, 0.000], [0.623, 0.623, 0.132], [0.249, 0.249, 0.252], [0.377, 0.377, 0.868], [0.127, 0.127, 0.620], [0.500, 0.500, 0.500], [0.751, 0.751, 0.748], [0.873, 0.873, 0.380]],
  "formation_energy_kj_per_mol_atoms": -45,
  "total_magnetization_mub_per_cell": 0.5
}


{
  "formula": "MgCo2Si",
  "functional": "PBE",
  "state": "relaxed",
  "lattice": [[-2.938, -7.390, 0.142], [-2.020, -7.291, -2.457], [-0.292, -7.939, -0.407]],
  "species": ["Co", "Co", "Si", "Mg"],
  "frac_coords": [[0.490, 0.490, 0.490], [0.010, 0.010, 0.010], [0.750, 0.750, 0.750], [0.250, 0.250, 0.250]],
  "final_energy_ev_per_atom": -5.35,
  "total_magnetization_mub_per_cell": 1.2
}


{
  "formula": "Zr2CrNi",
  "functional": "PBE",
  "state": "relaxed",
  "lattice": [[-2.521, -3.030, -2.338], [1.799, -4.043, -1.190], [-1.443, -3.840, 2.042]],
  "species": ["Zr", "Zr", "Cr", "Ni"],
  "frac_coords": [[0.250, 0.250, 0.250], [0.000, 0.000, 0.000], [0.500, 0.500, 0.500], [0.750, 0.750, 0.750]],
  "polymorph_energy_ev_per_fu": 1.20,
  "formation_energy_kj_per_mol_atoms": 18,
  "total_magnetization_mub_per_cell": 3.0
}


{
  "formula": "KY2Os",
  "functional": "PBE",
  "state": "relaxed",
  "lattice": [[-1.556, 8.178, 0.227], [-4.843, -1.107, 6.684], [1.472, 4.326, 6.971]],
  "species": ["Y", "Os", "Y", "Os", "Y", "K", "K", "Y"],
  "frac_coords": [[0.874, 0.125, 0.250], [0.000, 0.000, 0.000], [0.375, 0.126, 0.750], [0.750, 0.250, 0.500], [0.875, 0.124, 0.750], [0.500, 0.500, 0.000], [0.250, 0.750, 0.500], [0.876, 0.625, 0.250]],
  "polymorph_energy_ev_per_fu": 2.63,
  "formation_energy_kj_per_mol_atoms": 62,
  "total_magnetization_mub_per_cell": 0.0
}


{
  "formula": "LaZnTc2",
  "functional": "PBE",
  "state": "relaxed",
  "lattice": [[2.784, 0.000, 0.000], [0.000, 2.784, 0.000], [0.000, 0.000, 9.196]],
  "species": ["Tc", "Tc", "La", "Zn"],
  "frac_coords": [[0.000, 0.000, 0.459], [0.000, 0.000, 0.041], [0.500, 0.500, 0.750], [0.500, 0.500, 0.250]],
  "formation_energy_kj_per_mol_atoms": 52,
  "total_magnetization_mub_per_cell": 0.0
}


{
  "formula": "Pa2Co5Ge4",
  "functional": "PBE",
  "state": "relaxed",
  "lattice": [[5.385, 0.000, 0.000], [2.693, 4.577, 0.000], [2.693, 0.000, 6.942]],
  "species": ["Co", "Co", "Co", "Pa", "Co", "Ge", "Ge", "Pa", "Co", "Ge", "Ge"],
  "frac_coords": [[0.500, 0.500, 0.000], [0.250, 0.500, 0.500], [0.000, 0.500, 0.000], [0.862, 0.000, 0.275], [0.750, 0.500, 0.500], [0.522, 0.693, 0.262], [0.478, 0.307, 0.738], [0.138, 0.000, 0.725], [0.500, 0.000, 0.000], [0.784, 0.693, 0.738], [0.216, 0.307, 0.262]],
  "formation_energy_kj_per_mol_atoms": -34,
  "total_magnetization_mub_per_cell": 0.3
}


{
  "formula": "Tb4Al3",
  "functional": "PBE",
  "state": "relaxed",
  "lattice": [[-2.318, 3.800, -4.568], [-6.544, -4.116, 2.866], [3.357, 5.119, 5.524]],
  "species": ["Tb", "Al", "Tb", "Tb", "Al", "Tb", "Tb", "Al", "Tb", "Tb", "Al", "Al", "Al", "Tb"],
  "frac_coords": [[0.076, 0.303, 0.451], [0.866, 0.404, 0.130], [0.626, 0.549, 0.852], [0.374, 0.451, 0.148], [0.263, 0.130, 0.725], [0.773, 0.148, 0.697], [0.000, 0.000, 0.000], [0.538, 0.275, 0.404], [0.924, 0.697, 0.549], [0.500, 0.000, 0.000], [0.462, 0.725, 0.596], [0.134, 0.596, 0.870], [0.737, 0.870, 0.275], [0.227, 0.852, 0.303]],
  "formation_energy_kj_per_mol_atoms": -29,
  "total_magnetization_mub_per_cell": 0.0
}


{
  "formula": "La9HoCd2",
  "functional": "PBE",
  "state": "relaxed",
  "lattice": [[5.109, 0.000, 0.000], [0.000, 5.109, 0.000], [0.000, 0.000, 15.405]],
  "species": ["La", "La", "Ho", "La", "La", "La", "Cd", "La", "La", "La", "La", "Cd"],
  "frac_coords": [[0.000, 0.500, 0.171], [0.000, 0.500, 0.500], [0.000, 0.000, 0.000], [0.500, 0.500, 0.666], [0.500, 0.500, 0.334], [0.000, 0.500, 0.829], [0.000, 0.000, 0.338], [0.500, 0.000, 0.829], [0.500, 0.500, 0.000], [0.500, 0.000, 0.500], [0.500, 0.000, 0.171], [0.000, 0.000, 0.662]],
  "formation_energy_kj_per_mol_atoms": -8,
  "total_magnetization_mub_per_cell": 0.0
}


{
  "formula": "NbInPdW2",
  "functional": "PBE",
  "state": "relaxed",
  "lattice": [[4.755, 0.000, 0.000], [0.000, 5.244, 0.000], [0.000, 0.000, 4.755]],
  "species": ["In", "W", "Nb", "Pd", "W"],
  "frac_coords": [[0.000, 0.500, 0.000], [0.000, 0.000, 0.500], [0.000, 0.000, 0.000], [0.500, 0.500, 0.500], [0.500, 0.000, 0.000]],
  "polymorph_energy_ev_per_fu": 0.00,
  "formation_energy_kj_per_mol_atoms": 186,
  "total_magnetization_mub_per_cell": 1.3
}


{
  "formula": "AlFeCu4",
  "functional": "PBE",
  "state": "relaxed",
  "lattice": [[1.161, 0.672, 4.598], [-3.441, 0.341, 3.313], [-0.631, -3.534, 3.171]],
  "species": ["Fe", "Cu", "Cu", "Al", "Cu", "Cu"],
  "frac_coords": [[0.250, 0.250, 0.250], [0.625, 0.625, 0.125], [0.625, 0.625, 0.625], [0.000, 0.000, 0.000], [0.125, 0.625, 0.625], [0.625, 0.125, 0.625]],
  "formation_energy_kj_per_mol_atoms": 11,
  "total_magnetization_mub_per_cell": 3.2
}


{
  "formula": "ErSc2AgO",
  "functional": "PBE",
  "state": "relaxed",
  "lattice": [[-0.725, 4.367, -0.084], [-2.518, -0.487, -3.609], [-3.791, -0.577, 2.722]],
  "species": ["Sc", "Sc", "O", "Er", "Ag"],
  "frac_coords": [[0.000, 0.500, 0.000], [0.500, 0.000, 0.000], [0.000, 0.000, 0.000], [0.000, 0.000, 0.500], [0.500, 0.500, 0.500]],
  "final_energy_ev_per_atom": -6.30,
  "total_magnetization_mub_per_cell": 0.0
}


{
  "formula": "LaPm2SmDy2",
  "functional": "PBE",
  "state": "relaxed",
  "lattice": [[-1.558, -1.818, 2.448], [-1.533, -4.668, -4.442], [15.724, -8.607, 3.619]],
  "species": ["Dy", "Dy", "La", "Pm", "Sm", "La", "Dy", "Dy", "Pm", "Pm", "Sm", "Pm"],
  "frac_coords": [[0.500, 0.215, 0.647], [0.500, 0.785, 0.353], [0.000, 0.000, 0.000], [0.500, 0.718, 0.688], [0.000, 0.000, 0.500], [0.500, 0.500, 0.500], [0.000, 0.285, 0.147], [0.000, 0.715, 0.853], [0.500, 0.282, 0.312], [0.000, 0.782, 0.188], [0.500, 0.500, 0.000], [0.000, 0.218, 0.812]],
  "formation_energy_kj_per_mol_atoms": 25,
  "total_magnetization_mub_per_cell": 0.0
}


{
  "formula": "K2Ti2Te",
  "functional": "PBE",
  "state": "relaxed",
  "lattice": [[-2.017, 7.677, 1.016], [-6.294, -1.015, -4.836], [-3.059, -1.369, 4.269]],
  "species": ["K", "K", "K", "Te", "Ti", "Ti", "K", "Ti", "Ti", "Te"],
  "frac_coords": [[0.872, 0.628, 0.000], [0.628, 0.128, 0.000], [0.372, 0.872, 0.000], [0.000, 0.000, 0.000], [0.692, 0.808, 0.500], [0.808, 0.308, 0.500], [0.128, 0.372, 0.000], [0.308, 0.192, 0.500], [0.192, 0.692, 0.500], [0.500, 0.500, 0.000]],
  "polymorph_energy_ev_per_fu": 3.90,
  "total_magnetization_mub_per_cell": 12.0
}


{
  "formula": "Sn4Hg3",
  "functional": "PBE",
  "state": "relaxed",
  "lattice": [[-0.417, -2.655, 2.116], [8.484, 1.777, 3.900], [-2.232, 4.947, 3.002]],
  "species": ["Sn", "Sn", "Hg", "Sn", "Sn", "Hg", "Hg"],
  "frac_coords": [[0.348, 0.589, 0.696], [0.066, 0.687, 0.131], [0.000, 0.000, 0.000], [0.652, 0.411, 0.304], [0.934, 0.313, 0.869], [0.761, 0.863, 0.522], [0.239, 0.137, 0.478]],
  "formation_energy_kj_per_mol_atoms": 5,
  "total_magnetization_mub_per_cell": 0.0
}


{
  "formula": "Sm2DyEr",
  "functional": "PBE",
  "state": "relaxed",
  "lattice": [[5.709, 0.000, 0.000], [0.000, 12.597, 0.000], [0.000, 0.000, 7.303]],
  "species": ["Sm", "Er", "Sm", "Dy", "Dy", "Dy", "Er", "Sm", "Er", "Sm", "Dy", "Sm", "Er", "Sm", "Sm", "Sm"],
  "frac_coords": [[0.443, 0.584, 0.000], [0.443, 0.333, 0.750], [0.443, 0.584, 0.499], [0.943, 0.668, 0.750], [0.443, 0.832, 0.250], [0.443, 0.332, 0.250], [0.943, 0.667, 0.250], [0.443, 0.084, 0.500], [0.443, 0.833, 0.750], [0.943, 0.416, 0.000], [0.943, 0.168, 0.750], [0.943, 0.416, 0.501], [0.943, 0.167, 0.250], [0.943, 0.916, 0.999], [0.943, 0.916, 0.500], [0.443, 0.084, 0.001]],
  "polymorph_energy_ev_per_fu": 0.01,
  "formation_energy_kj_per_mol_atoms": 2,
  "total_magnetization_mub_per_cell": 0.0
}


{
  "formula": "KBaO2F",
  "functional": "PBE",
  "state": "relaxed",
  "lattice": [[4.591, 0.000, 0.000], [0.000, 4.591, 0.000], [0.000, 0.000, 5.161]],
  "species": ["F", "O", "O", "K", "Ba"],
  "frac_coords": [[0.000, 0.000, 0.500], [0.500, 0.000, 0.000], [0.000, 0.500, 0.000], [0.500, 0.500, 0.500], [0.000, 0.000, 0.000]],
  "final_energy_ev_per_atom": -4.54,
  "total_magnetization_mub_per_cell": 0.0
}


{
  "formula": "TbPm4Se7",
  "functional": "PBE",
  "state": "relaxed",
  "lattice": [[-0.434, -4.041, 0.037], [7.025, 1.293, 0.341], [-3.753, 0.510, 11.821]],
  "species": ["Se", "Pm", "Se", "Se", "Se", "Se", "Tb", "Pm", "Se", "Pm", "Pm", "Se"],
  "frac_coords": [[0.264, 0.527, 0.648], [0.300, 0.601, 0.190], [0.498, 0.995, 0.503], [0.960, 0.920, 0.216], [0.039, 0.077, 0.781], [0.339, 0.677, 0.949], [0.887, 0.774, 0.578], [0.699, 0.399, 0.809], [0.660, 0.320, 0.050], [0.112, 0.225, 0.424], [0.999, 0.999, 0.998], [0.743, 0.485, 0.354]],
  "final_energy_ev_per_atom": -5.89,
  "total_magnetization_mub_per_cell": 0.0
}


{
  "formula": "RhC2I",
  "functional": "PBE",
  "state": "relaxed",
  "lattice": [[5.545, 0.000, 0.000], [0.000, 5.545, 0.000], [2.772, 2.772, 4.542]],
  "species": ["I", "I", "C", "C", "C", "Rh", "C", "Rh"],
  "frac_coords": [[0.750, 0.250, 0.500], [0.000, 0.000, 0.000], [0.240, 0.625, 0.250], [0.510, 0.125, 0.250], [0.875, 0.760, 0.750], [0.250, 0.750, 0.500], [0.375, 0.490, 0.750], [0.500, 0.500, 0.000]],
  "polymorph_energy_ev_per_fu": 0.00,
  "total_magnetization_mub_per_cell": 0.0
}